The following is a PBE-GGA calculation of crystalline Pm12AlSi7 at its relaxed geometry, from Alexandria.

Geometry as CIF:
```
data_Pm12AlSi7
_cell_length_a 8.9793
_cell_length_b 8.9793
_cell_length_c 8.9793
_cell_angle_alpha 109.54
_cell_angle_beta 109.54
_cell_angle_gamma 109.54
_space_group_name_H-M_alt 'P 1'
_space_group_IT_number 1
loop_
_space_group_symop_operation_xyz
'x,y,z'
loop_
_atom_site_label
_atom_site_type_symbol
_atom_site_fract_x
_atom_site_fract_y
_atom_site_fract_z
Pm1 Pm 0.7279 0.8685 0.3437
Pm2 Pm 0.1315 0.6563 0.2721
Pm3 Pm 0.2721 0.1315 0.6563
Pm4 Pm 0.6841 0.5994 0.9018
Pm5 Pm 0.8685 0.3437 0.7279
Pm6 Pm 0.0982 0.3159 0.4006
Pm7 Pm 0.3437 0.7279 0.8685
Pm8 Pm 0.3159 0.4006 0.0982
Pm9 Pm 0.9018 0.6841 0.5994
Pm10 Pm 0.4006 0.0982 0.3159
Pm11 Pm 0.6563 0.2721 0.1315
Pm12 Pm 0.5994 0.9018 0.6841
Al1 Al 0.0000 0.0000 0.0000
Si1 Si 0.2604 0.0241 0.9319
Si2 Si 0.0241 0.9319 0.2604
Si3 Si 0.7396 0.9759 0.0681
Si4 Si 0.5000 0.5000 0.5000
Si5 Si 0.0681 0.7396 0.9759
Si6 Si 0.9759 0.0681 0.7396
Si7 Si 0.9319 0.2604 0.0241
```

The magnetic moment comes out at 0.00 μB/cell. The uncorrected energy is -5.334 eV/atom. The uncorrected formation energy is -7.97 eV/f.u.


The following is a PBE-GGA calculation of crystalline PmAl3Si at its relaxed geometry, from Alexandria.

Geometry as CIF:
```
data_PmAl3Si
_cell_length_a 5.9121
_cell_length_b 6.3322
_cell_length_c 5.9301
_cell_angle_alpha 117.92
_cell_angle_beta 90.00
_cell_angle_gamma 90.00
_space_group_name_H-M_alt 'P 1'
_space_group_IT_number 1
loop_
_space_group_symop_operation_xyz
'x,y,z'
loop_
_atom_site_label
_atom_site_type_symbol
_atom_site_fract_x
_atom_site_fract_y
_atom_site_fract_z
Pm1 Pm 0.2500 0.4995 0.7497
Pm2 Pm 0.7500 0.5005 0.2503
Al1 Al 0.0000 0.0000 0.7483
Al2 Al 0.5000 0.0000 0.2517
Al3 Al 0.5000 0.0000 0.7483
Al4 Al 0.2500 0.2836 0.1418
Al5 Al 0.0000 0.0000 0.2517
Al6 Al 0.7500 0.7164 0.8582
Si1 Si 0.2500 0.7263 0.3631
Si2 Si 0.7500 0.2737 0.6369
```

The magnetic moment comes out at 0.00 μB/cell. The uncorrected energy is -4.594 eV/atom. The uncorrected formation energy is -1.57 eV/f.u.


The following is a PBE-GGA calculation of crystalline Pm2Al2Si at its relaxed geometry, from Alexandria.

Geometry as CIF:
```
data_Pm2Al2Si
_cell_length_a 3.7151
_cell_length_b 3.7151
_cell_length_c 9.3445
_cell_angle_alpha 101.47
_cell_angle_beta 101.47
_cell_angle_gamma 90.00
_space_group_name_H-M_alt 'P 1'
_space_group_IT_number 1
loop_
_space_group_symop_operation_xyz
'x,y,z'
loop_
_atom_site_label
_atom_site_type_symbol
_atom_site_fract_x
_atom_site_fract_y
_atom_site_fract_z
Al1 Al 0.7500 0.2500 0.5000
Al2 Al 0.2500 0.7500 0.5000
Pm1 Pm 0.4035 0.4035 0.8070
Pm2 Pm 0.5965 0.5965 0.1930
Si1 Si 0.0000 0.0000 0.0000
```

The magnetic moment comes out at 0.00 μB/cell. The uncorrected energy is -4.678 eV/atom. The uncorrected formation energy is -0.98 eV/f.u.


The following is a PBE-GGA calculation of crystalline Pm4AlSi3 at its relaxed geometry, from Alexandria.

Geometry as CIF:
```
data_Pm4AlSi3
_cell_length_a 4.4400
_cell_length_b 3.9868
_cell_length_c 11.0608
_cell_angle_alpha 90.00
_cell_angle_beta 90.00
_cell_angle_gamma 90.00
_space_group_name_H-M_alt 'P 1'
_space_group_IT_number 1
loop_
_space_group_symop_operation_xyz
'x,y,z'
loop_
_atom_site_label
_atom_site_type_symbol
_atom_site_fract_x
_atom_site_fract_y
_atom_site_fract_z
Al1 Al 0.5000 0.5000 0.0678
Si1 Si 0.0000 0.5000 0.5732
Si2 Si 0.5000 0.0000 0.9242
Si3 Si 0.0000 0.0000 0.4318
Pm1 Pm 0.0000 0.0000 0.1442
Pm2 Pm 0.0000 0.5000 0.8557
Pm3 Pm 0.5000 0.5000 0.3633
Pm4 Pm 0.5000 0.0000 0.6399
```

The magnetic moment comes out at 0.06 μB/cell. The uncorrected energy is -5.573 eV/atom. The uncorrected formation energy is -5.57 eV/f.u.


The following is a PBE-GGA calculation of crystalline Pm2AlSi2 at its relaxed geometry, from Alexandria.

Geometry as CIF:
```
data_Pm2AlSi2
_cell_length_a 4.1738
_cell_length_b 5.7762
_cell_length_c 5.7762
_cell_angle_alpha 59.58
_cell_angle_beta 68.82
_cell_angle_gamma 68.82
_space_group_name_H-M_alt 'P 1'
_space_group_IT_number 1
loop_
_space_group_symop_operation_xyz
'x,y,z'
loop_
_atom_site_label
_atom_site_type_symbol
_atom_site_fract_x
_atom_site_fract_y
_atom_site_fract_z
Pm1 Pm 0.7903 0.7097 0.7097
Pm2 Pm 0.2097 0.2903 0.2903
Si1 Si 0.5000 0.7098 0.2902
Si2 Si 0.5000 0.2902 0.7098
Al1 Al 0.0000 0.0000 0.0000
```

The magnetic moment comes out at 0.00 μB/cell. The uncorrected energy is -5.505 eV/atom. The uncorrected formation energy is -3.43 eV/f.u.


The following is a PBE-GGA calculation of crystalline Pm6AlSi3 at its relaxed geometry, from Alexandria.

Geometry as CIF:
```
data_Pm6AlSi3
_cell_length_a 4.2898
_cell_length_b 11.8551
_cell_length_c 12.4349
_cell_angle_alpha 108.34
_cell_angle_beta 90.00
_cell_angle_gamma 90.00
_space_group_name_H-M_alt 'P 1'
_space_group_IT_number 1
loop_
_space_group_symop_operation_xyz
'x,y,z'
loop_
_atom_site_label
_atom_site_type_symbol
_atom_site_fract_x
_atom_site_fract_y
_atom_site_fract_z
Pm1 Pm 0.7500 0.7885 0.7599
Pm2 Pm 0.2500 0.0780 0.9029
Pm3 Pm 0.2500 0.2727 0.7257
Pm4 Pm 0.2500 0.6095 0.9506
Pm5 Pm 0.7500 0.7273 0.2743
Pm6 Pm 0.2500 0.5292 0.3942
Pm7 Pm 0.2500 0.8804 0.5492
Pm8 Pm 0.2500 0.2115 0.2401
Pm9 Pm 0.7500 0.9220 0.0971
Pm10 Pm 0.7500 0.4708 0.6058
Pm11 Pm 0.7500 0.3905 0.0494
Pm12 Pm 0.7500 0.1196 0.4508
Al1 Al 0.7500 0.0572 0.6997
Al2 Al 0.2500 0.9428 0.3003
Si1 Si 0.2500 0.8424 0.9231
Si2 Si 0.2500 0.3082 0.4958
Si3 Si 0.7500 0.6918 0.5042
Si4 Si 0.2500 0.5484 0.1690
Si5 Si 0.7500 0.1576 0.0769
Si6 Si 0.7500 0.4516 0.8310
```

The magnetic moment comes out at 0.00 μB/cell. The uncorrected energy is -5.245 eV/atom. The uncorrected formation energy is -3.93 eV/f.u.


> Which formula does entry 3 have?

Pm2Al2Si